This record from Alexandria via LeMat-Bulk describes crystalline TlV2Cl6 at its relaxed geometry. The functional is GGA-PBE.

The space group is P-31m (No. 162) and the conventional cell measures 6.3742, 6.3742 and 7.1194 Å, with angles of 90.00, 90.00 and 120.00 degrees. The distinct sites, in fractional coordinates, are Tl at (0.0000, 0.0000, 0.0000), V at (0.3333, 0.6667, 0.5000) and Cl at (0.0000, 0.3738, 0.6934).

As for the energy above the most stable polymorph in this dataset: 0 meV/atom. The uncorrected energy comes out at -42.460 eV per cell.